# Li4ZrW | Alexandria via LeMat-Bulk | GGA-PBE | relaxed
data_Li4ZrW
_symmetry_space_group_name_H-M 'F -4 3 m'
_symmetry_Int_Tables_number 216
_symmetry_space_group_name_Hall 'F -4 2 3'
_cell_length_a 7.155
_cell_length_b 7.155
_cell_length_c 7.155
_cell_angle_alpha 90.00
_cell_angle_beta 90.00
_cell_angle_gamma 90.00
loop_
_atom_site_label
_atom_site_type_symbol
_atom_site_fract_x
_atom_site_fract_y
_atom_site_fract_z
Li1 Li 0.123 0.123 0.123
Zr1 Zr 0.000 0.000 0.500
W1 W 0.250 0.250 0.750
# **Magnetization**: 0.4 μB/cell
# **ΔE_f**: 0.53 eV/atom


# LiZrW2 | Alexandria via LeMat-Bulk | GGA-PBE | relaxed
data_LiZrW2
_symmetry_space_group_name_H-M 'R -3 m'
_symmetry_Int_Tables_number 166
_symmetry_space_group_name_Hall '-R 3 2"'
_cell_length_a 2.8101
_cell_length_b 2.8101
_cell_length_c 30.9944
_cell_angle_alpha 90.00
_cell_angle_beta 90.00
_cell_angle_gamma 120.00
loop_
_atom_site_label
_atom_site_type_symbol
_atom_site_fract_x
_atom_site_fract_y
_atom_site_fract_z
Li1 Li 0.0000 0.0000 0.0000
Zr1 Zr 0.0000 0.0000 0.5000
W1 W 0.0000 0.0000 0.2531
# **ΔE to the lowest computed polymorph**: 279 meV/atom
# **Magnetization**: 0.0 μB/cell
# **ΔE_f**: 0.55 eV/atom


# LiZrW2 | Alexandria via LeMat-Bulk | GGA-PBE | relaxed
data_LiZrW2
_symmetry_space_group_name_H-M 'C m m 2'
_symmetry_Int_Tables_number 35
_symmetry_space_group_name_Hall 'C 2 -2'
_cell_length_a 3.194
_cell_length_b 4.622
_cell_length_c 9.723
_cell_angle_alpha 90.00
_cell_angle_beta 90.00
_cell_angle_gamma 90.00
loop_
_atom_site_label
_atom_site_type_symbol
_atom_site_fract_x
_atom_site_fract_y
_atom_site_fract_z
Li1 Li 0.000 0.000 0.000
Zr1 Zr 0.000 0.500 0.286
W1 W 0.000 0.000 0.537
W2 W 0.000 0.500 0.758
# **ΔE to the lowest computed polymorph**: 0 meV/atom
# **Magnetization**: 0.0 μB/cell
# **ΔE_f**: 0.27 eV/atom


# Li2ZrW | Alexandria via LeMat-Bulk | GGA-PBE | relaxed
data_Li2ZrW
_symmetry_space_group_name_H-M 'P 4 m m'
_symmetry_Int_Tables_number 99
_symmetry_space_group_name_Hall 'P 4 -2'
_cell_length_a 2.766
_cell_length_b 2.766
_cell_length_c 9.740
_cell_angle_alpha 90.00
_cell_angle_beta 90.00
_cell_angle_gamma 90.00
loop_
_atom_site_label
_atom_site_type_symbol
_atom_site_fract_x
_atom_site_fract_y
_atom_site_fract_z
Li1 Li 0.000 0.000 0.000
Li2 Li 0.500 0.500 0.254
Zr1 Zr 0.500 0.500 0.721
W1 W 0.000 0.000 0.482
# **ΔE to the lowest computed polymorph**: 50 meV/atom
# **Magnetization**: 0.0 μB/cell
# **ΔE_f**: 0.32 eV/atom


# LiY | Alexandria via LeMat-Bulk | GGA-PBE | relaxed
data_LiY
_symmetry_space_group_name_H-M 'I 4/m'
_symmetry_Int_Tables_number 87
_symmetry_space_group_name_Hall '-I 4'
_cell_length_a 11.683
_cell_length_b 11.683
_cell_length_c 3.271
_cell_angle_alpha 90.00
_cell_angle_beta 90.00
_cell_angle_gamma 90.00
loop_
_atom_site_label
_atom_site_type_symbol
_atom_site_fract_x
_atom_site_fract_y
_atom_site_fract_z
Li1 Li 0.073 0.850 0.000
Y1 Y 0.123 0.352 0.000
# **ΔE to the lowest computed polymorph**: 209 meV/atom
# **Magnetization**: 2.6 μB/cell
# **ΔE_f**: 0.27 eV/atom


# LiY | Alexandria via LeMat-Bulk | GGA-PBE | relaxed
data_LiY
_symmetry_space_group_name_H-M 'P 63/m'
_symmetry_Int_Tables_number 176
_symmetry_space_group_name_Hall '-P 6c'
_cell_length_a 11.2902
_cell_length_b 11.2902
_cell_length_c 3.2558
_cell_angle_alpha 90.00
_cell_angle_beta 90.00
_cell_angle_gamma 120.00
loop_
_atom_site_label
_atom_site_type_symbol
_atom_site_fract_x
_atom_site_fract_y
_atom_site_fract_z
Li1 Li 0.1562 0.5369 0.2500
Y1 Y 0.0437 0.7527 0.2500
# **ΔE to the lowest computed polymorph**: 314 meV/atom
# **Magnetization**: 0.1 μB/cell
# **ΔE_f**: 0.37 eV/atom


# Li3Y | Alexandria via LeMat-Bulk | GGA-PBE | relaxed
data_Li3Y
_symmetry_space_group_name_H-M 'C m m m'
_symmetry_Int_Tables_number 65
_symmetry_space_group_name_Hall '-C 2 2'
_cell_length_a 3.700
_cell_length_b 5.277
_cell_length_c 10.055
_cell_angle_alpha 90.00
_cell_angle_beta 90.00
_cell_angle_gamma 90.00
loop_
_atom_site_label
_atom_site_type_symbol
_atom_site_fract_x
_atom_site_fract_y
_atom_site_fract_z
Li1 Li 0.000 0.000 0.000
Li2 Li 0.000 0.500 0.232
Y1 Y 0.000 0.000 0.500
# **ΔE to the lowest computed polymorph**: 69 meV/atom
# **Magnetization**: 0.0 μB/cell
# **ΔE_f**: 0.11 eV/atom


# LiY5 | Alexandria via LeMat-Bulk | GGA-PBE | relaxed
data_LiY5
_symmetry_space_group_name_H-M 'P 6/m m m'
_symmetry_Int_Tables_number 191
_symmetry_space_group_name_Hall '-P 6 2'
_cell_length_a 6.5836
_cell_length_b 6.5836
_cell_length_c 5.8229
_cell_angle_alpha 90.00
_cell_angle_beta 90.00
_cell_angle_gamma 120.00
loop_
_atom_site_label
_atom_site_type_symbol
_atom_site_fract_x
_atom_site_fract_y
_atom_site_fract_z
Li1 Li 0.0000 0.0000 0.0000
Y1 Y 0.0000 0.5000 0.5000
Y2 Y 0.3333 0.6667 0.0000
# **ΔE to the lowest computed polymorph**: 468 meV/atom
# **Magnetization**: 0.0 μB/cell
# **ΔE_f**: 0.52 eV/atom


# LiY3 | Alexandria via LeMat-Bulk | GGA-PBE | relaxed
data_LiY3
_symmetry_space_group_name_H-M 'I 4/m m m'
_symmetry_Int_Tables_number 139
_symmetry_space_group_name_Hall '-I 4 2'
_cell_length_a 4.744
_cell_length_b 4.744
_cell_length_c 10.593
_cell_angle_alpha 90.00
_cell_angle_beta 90.00
_cell_angle_gamma 90.00
loop_
_atom_site_label
_atom_site_type_symbol
_atom_site_fract_x
_atom_site_fract_y
_atom_site_fract_z
Li1 Li 0.000 0.000 0.000
Y1 Y 0.000 0.000 0.500
Y2 Y 0.000 0.500 0.250
# **ΔE to the lowest computed polymorph**: 136 meV/atom
# **Magnetization**: 0.0 μB/cell
# **ΔE_f**: 0.20 eV/atom


# Li3Y | Alexandria via LeMat-Bulk | GGA-PBE | relaxed
data_Li3Y
_symmetry_space_group_name_H-M 'P 63/m m c'
_symmetry_Int_Tables_number 194
_symmetry_space_group_name_Hall '-P 6c 2c'
_cell_length_a 6.5817
_cell_length_b 6.5817
_cell_length_c 4.9992
_cell_angle_alpha 90.00
_cell_angle_beta 90.00
_cell_angle_gamma 120.00
loop_
_atom_site_label
_atom_site_type_symbol
_atom_site_fract_x
_atom_site_fract_y
_atom_site_fract_z
Li1 Li 0.1516 0.3032 0.2500
Y1 Y 0.3333 0.6667 0.7500
# **ΔE to the lowest computed polymorph**: 142 meV/atom
# **Magnetization**: 0.0 μB/cell
# **ΔE_f**: 0.19 eV/atom


# LiY8 | Alexandria via LeMat-Bulk | GGA-PBE | relaxed
data_LiY8
_symmetry_space_group_name_H-M 'I 4/m m m'
_symmetry_Int_Tables_number 139
_symmetry_space_group_name_Hall '-I 4 2'
_cell_length_a 10.603
_cell_length_b 10.603
_cell_length_c 5.043
_cell_angle_alpha 90.00
_cell_angle_beta 90.00
_cell_angle_gamma 90.00
loop_
_atom_site_label
_atom_site_type_symbol
_atom_site_fract_x
_atom_site_fract_y
_atom_site_fract_z
Li1 Li 0.000 0.000 0.000
Y1 Y 0.000 0.334 0.000
Y2 Y 0.168 0.168 0.500
# **Magnetization**: 0.0 μB/cell
# **ΔE_f**: 0.09 eV/atom


# LiY | Alexandria via LeMat-Bulk | GGA-PBE | relaxed
data_LiY
_symmetry_space_group_name_H-M 'I m m a'
_symmetry_Int_Tables_number 74
_symmetry_space_group_name_Hall '-I 2b 2'
_cell_length_a 3.586
_cell_length_b 5.371
_cell_length_c 10.793
_cell_angle_alpha 90.00
_cell_angle_beta 90.00
_cell_angle_gamma 90.00
loop_
_atom_site_label
_atom_site_type_symbol
_atom_site_fract_x
_atom_site_fract_y
_atom_site_fract_z
Li1 Li 0.000 0.250 0.155
Y1 Y 0.000 0.250 0.609
# **ΔE to the lowest computed polymorph**: 90 meV/atom
# **Magnetization**: 2.3 μB/cell
# **ΔE_f**: 0.15 eV/atom


# LiY3 | Alexandria via LeMat-Bulk | GGA-PBE | relaxed
data_LiY3
_symmetry_space_group_name_H-M 'I m m m'
_symmetry_Int_Tables_number 71
_symmetry_space_group_name_Hall '-I 2 2'
_cell_length_a 3.762
_cell_length_b 5.499
_cell_length_c 11.272
_cell_angle_alpha 90.00
_cell_angle_beta 90.00
_cell_angle_gamma 90.00
loop_
_atom_site_label
_atom_site_type_symbol
_atom_site_fract_x
_atom_site_fract_y
_atom_site_fract_z
Li1 Li 0.000 0.000 0.000
Y1 Y 0.000 0.000 0.500
Y2 Y 0.000 0.500 0.277
# **ΔE to the lowest computed polymorph**: 7 meV/atom
# **Magnetization**: 0.0 μB/cell
# **ΔE_f**: 0.07 eV/atom